Below is LaCd2Bi after structural relaxation, with properties calculated at the GGA-PBE level.

Calculated values
Crystal system = trigonal
E = -9.99 eV/cell
Formation energy = 162.5 meV/atom

a = 12.2177 Å, b = 12.2177 Å, c = 12.2177 Å
α = 16.14°, β = 16.14°, γ = 16.14°
Atoms (fractional coordinates):
La 0.0000 0.0000 0.0000
Cd 0.0900 0.0900 0.0900
Cd 0.9100 0.9100 0.9100
Bi 0.5000 0.5000 0.5000